Here is MnCo after structural relaxation from Alexandria via LeMat-Bulk. Energies are from PBE.

magnetization	0.312	μB/atom
crystal system	hexagonal
VASP energy	-7.757	eV per atom
space-group type	P6_3/m, No. 176
N(E_F)	20.24	states/eV per cell
calculated formation energy	0.381	eV/atom
density	8.3	g/cm³

Lattice parameters (Å, degrees): 8.0666 8.0666 2.4210 90.00 90.00 120.00
With the nearest neighbours (Å) after each atom.
Sites, in units of the cell vectors:
Mn 0.1467 0.5310 0.2500  6 Mn 2.33-2.48, 4 Co 2.41-2.45
Mn 0.3843 0.8533 0.2500  6 Mn 2.33-2.48, 4 Co 2.41-2.45
Mn 0.4690 0.6157 0.2500  6 Mn 2.33-2.48, 4 Co 2.41-2.45
Mn 0.5310 0.3843 0.7500  6 Mn 2.33-2.48, 4 Co 2.41-2.45
Mn 0.6157 0.1467 0.7500  6 Mn 2.33-2.48, 4 Co 2.41-2.45
Mn 0.8533 0.4690 0.7500  6 Mn 2.33-2.48, 4 Co 2.41-2.45
Co 0.0477 0.7682 0.2500  4 Mn 2.41-2.45, 6 Co 2.41-2.42
Co 0.2318 0.2795 0.2500  4 Mn 2.41-2.45, 6 Co 2.41-2.42
Co 0.2795 0.0477 0.7500  4 Mn 2.41-2.45, 6 Co 2.41-2.42
Co 0.7205 0.9523 0.2500  4 Mn 2.41-2.45, 6 Co 2.41-2.42
Co 0.7682 0.7205 0.7500  4 Mn 2.41-2.45, 6 Co 2.41-2.42
Co 0.9523 0.2318 0.7500  4 Mn 2.41-2.45, 6 Co 2.41-2.42

=====

Here is TmSb3Se6 after structural relaxation from Alexandria via LeMat-Bulk. Energies are from PBE.

magnetization	0.000	μB/atom
crystal system	monoclinic
E_form (uncorrected)	-647	meV per atom
VASP energy	-4.421	eV per atom
space-group type	P2_1/m, No. 11
energy above the lowest structure with this stoichiometry	0.0000	eV/atom
density	5.8	g/cm³

Lattice parameters (Å, degrees): 12.0396 3.9985 12.3244 90.00 104.67 90.00
With the nearest neighbours (Å) after each atom.
Sites, in units of the cell vectors:
Tm 0.1863 0.2500 0.0310  8 Se 2.91-3.08
Tm 0.8137 0.7500 0.9690  8 Se 2.91-3.08
Sb 0.0319 0.7500 0.2891  3 Se 2.65-2.82
Sb 0.3375 0.2500 0.4250  3 Se 2.71
Sb 0.4024 0.7500 0.8482  3 Se 2.64-2.70
Sb 0.5976 0.2500 0.1518  3 Se 2.64-2.70
Sb 0.6625 0.7500 0.5750  3 Se 2.71
Sb 0.9681 0.2500 0.7109  3 Se 2.65-2.82
Se 0.0345 0.7500 0.8996  3 Tm 2.91-2.99, 2 Sb 3.02
Se 0.1195 0.2500 0.4488  3 Sb 2.71-2.82
Se 0.2213 0.7500 0.2167  1 Sb 2.65
Se 0.2467 0.2500 0.8030  2 Sb 2.70
Se 0.3789 0.7500 0.0557  1 Sb 2.64
Se 0.3953 0.7500 0.5770  2 Sb 2.71
Se 0.6047 0.2500 0.4230  2 Sb 2.71
Se 0.6211 0.2500 0.9443  1 Sb 2.64
Se 0.7533 0.7500 0.1970  2 Sb 2.70
Se 0.7787 0.2500 0.7833  1 Sb 2.65
Se 0.8805 0.7500 0.5512  3 Sb 2.71-2.82
Se 0.9655 0.2500 0.1004  3 Tm 2.91-2.99, 2 Sb 3.02

=====

Here is EuAg2Sb after structural relaxation from Alexandria via LeMat-Bulk. Energies are from PBE.

magnetization	1.969	μB/atom
crystal system	trigonal
E_form (uncorrected)	287	meV per atom
VASP energy	-4.738	eV per atom
space-group type	R-3m, No. 166
N(E_F)	5.68	states/eV per cell
density	7.9	g/cm³

Lattice parameters (Å, degrees): 3.3077 3.3077 32.7067 90.00 90.00 120.00
With the nearest neighbours (Å) after each atom.
Sites, in units of the cell vectors:
Eu 0.0000 0.0000 0.0000  2 Ag 3.06, 6 Eu 3.31
Eu 0.3333 0.6667 0.6667  2 Ag 3.06, 6 Eu 3.31
Eu 0.6667 0.3333 0.3333  2 Ag 3.06, 6 Eu 3.31
Ag 0.0000 0.0000 0.0937  3 Sb 3.06, 1 Eu 3.06, 6 Ag 3.31
Ag 0.0000 0.0000 0.9063  3 Sb 3.06, 1 Eu 3.06, 6 Ag 3.31
Ag 0.3333 0.6667 0.5730  3 Sb 3.06, 1 Eu 3.06, 6 Ag 3.31
Ag 0.3333 0.6667 0.7604  3 Sb 3.06, 1 Eu 3.06, 6 Ag 3.31
Ag 0.6667 0.3333 0.2396  3 Sb 3.06, 1 Eu 3.06, 6 Ag 3.31
Ag 0.6667 0.3333 0.4270  3 Sb 3.06, 1 Eu 3.06, 6 Ag 3.31
Sb 0.0000 0.0000 0.5000  6 Ag 3.06, 6 Sb 3.31
Sb 0.3333 0.6667 0.1667  6 Ag 3.06, 6 Sb 3.31
Sb 0.6667 0.3333 0.8333  6 Ag 3.06, 6 Sb 3.31

=====

Here is HfAlSi2 after structural relaxation from Alexandria via LeMat-Bulk. Energies are from PBE.

magnetization	0.000	μB/atom
crystal system	tetragonal
E_form (uncorrected)	57	meV per atom
VASP energy	-6.078	eV per atom
space-group type	I-42d, No. 122
N(E_F)	14.55	states/eV per cell
density	6.1	g/cm³

Lattice parameters (Å, degrees): 7.1317 7.1317 5.5865 90.00 90.00 90.00
With the nearest neighbours (Å) after each atom.
Sites, in units of the cell vectors:
Hf 0.0000 0.0000 0.0000  4 Si 2.73, 2 Al 2.79
Hf 0.0000 0.5000 0.2500  4 Si 2.73, 2 Al 2.79
Hf 0.5000 0.0000 0.7500  4 Si 2.73, 2 Al 2.79
Hf 0.5000 0.5000 0.5000  4 Si 2.73, 2 Al 2.79
Al 0.0000 0.0000 0.5000  4 Si 2.51, 2 Hf 2.79
Al 0.0000 0.5000 0.7500  4 Si 2.51, 2 Hf 2.79
Al 0.5000 0.0000 0.2500  4 Si 2.51, 2 Hf 2.79
Al 0.5000 0.5000 0.0000  4 Si 2.51, 2 Hf 2.79
Si 0.2275 0.2500 0.6250  2 Al 2.51, 2 Hf 2.73
Si 0.2500 0.7275 0.8750  2 Al 2.51, 2 Hf 2.73
Si 0.2500 0.7725 0.3750  2 Al 2.51, 2 Hf 2.73
Si 0.2725 0.2500 0.1250  2 Al 2.51, 2 Hf 2.73
Si 0.7275 0.7500 0.1250  2 Al 2.51, 2 Hf 2.73
Si 0.7500 0.2275 0.3750  2 Al 2.51, 2 Hf 2.73
Si 0.7500 0.2725 0.8750  2 Al 2.51, 2 Hf 2.73
Si 0.7725 0.7500 0.6250  2 Al 2.51, 2 Hf 2.73

=====

Here is Hf2TcNi after structural relaxation from Alexandria via LeMat-Bulk. Energies are from PBE.

magnetization	0.000	μB/atom
crystal system	cubic
VASP energy	-9.505	eV per atom
space-group type	Fm-3m, No. 225
N(E_F)	21.94	states/eV per cell
calculated formation energy	-0.491	eV/atom
density	12.7	g/cm³

Lattice parameters (Å, degrees): 6.4596 6.4596 6.4596 90.00 90.00 90.00
With the nearest neighbours (Å) after each atom.
Sites, in units of the cell vectors:
Hf 0.2500 0.2500 0.2500  4 Tc 2.80, 4 Ni 2.80
Hf 0.2500 0.2500 0.7500  4 Tc 2.80, 4 Ni 2.80
Hf 0.2500 0.7500 0.2500  4 Tc 2.80, 4 Ni 2.80
Hf 0.2500 0.7500 0.7500  4 Tc 2.80, 4 Ni 2.80
Hf 0.7500 0.2500 0.2500  4 Tc 2.80, 4 Ni 2.80
Hf 0.7500 0.2500 0.7500  4 Tc 2.80, 4 Ni 2.80
Hf 0.7500 0.7500 0.2500  4 Tc 2.80, 4 Ni 2.80
Hf 0.7500 0.7500 0.7500  4 Tc 2.80, 4 Ni 2.80
Tc 0.0000 0.0000 0.0000  8 Hf 2.80
Tc 0.0000 0.5000 0.5000  8 Hf 2.80
Tc 0.5000 0.0000 0.5000  8 Hf 2.80
Tc 0.5000 0.5000 0.0000  8 Hf 2.80
Ni 0.0000 0.0000 0.5000  8 Hf 2.80
Ni 0.0000 0.5000 0.0000  8 Hf 2.80
Ni 0.5000 0.0000 0.0000  8 Hf 2.80
Ni 0.5000 0.5000 0.5000  8 Hf 2.80

=====

Here is SiHg3Pt after structural relaxation from Alexandria via LeMat-Bulk. Energies are from PBE.

magnetization	0.000	μB/atom
crystal system	cubic
E_form (uncorrected)	739	meV per atom
VASP energy	-1.735	eV per atom
space-group type	Pm-3m, No. 221
N(E_F)	2.61	states/eV per cell
energy above the lowest structure with this stoichiometry	0.1276	eV/atom
density	11.0	g/cm³

Lattice parameters (Å, degrees): 4.9876 4.9876 4.9876 90.00 90.00 90.00
With the nearest neighbours (Å) after each atom.
Sites, in units of the cell vectors:
Si 0.0000 0.0000 0.0000  6 Hg 2.49
Hg 0.0000 0.0000 0.5000  2 Si 2.49
Hg 0.0000 0.5000 0.0000  2 Si 2.49
Hg 0.5000 0.0000 0.0000  2 Si 2.49
Pt 0.5000 0.5000 0.5000  12 Hg 3.53

=====

Here is BaNbTlTc2 after structural relaxation from Alexandria via LeMat-Bulk. Energies are from PBE.

magnetization	0.439	μB/atom
crystal system	tetragonal
VASP energy	-4.383	eV per atom
space-group type	P4/mmm, No. 123
N(E_F)	6.23	states/eV per cell
calculated formation energy	2.635	eV/atom
density	7.8	g/cm³

Lattice parameters (Å, degrees): 5.0534 5.0534 5.2569 90.00 90.00 90.00
With the nearest neighbours (Å) after each atom.
Sites, in units of the cell vectors:
Ba 0.0000 0.0000 0.0000  4 Tc 2.53, 2 Nb 2.63
Nb 0.0000 0.0000 0.5000  2 Ba 2.63
Tl 0.5000 0.5000 0.5000  4 Nb 3.57, 8 Tc 3.65
Tc 0.0000 0.5000 0.0000  2 Ba 2.53
Tc 0.5000 0.0000 0.0000  2 Ba 2.53

=====

Here is RbPrBeS3 after structural relaxation from Alexandria via LeMat-Bulk. Energies are from PBE.

magnetization	0.000	μB/atom
crystal system	monoclinic
E_form (uncorrected)	-1499	meV per atom
VASP energy	-5.142	eV per atom
space-group type	P2_1/m, No. 11
N(E_F)	0.00	states/eV per cell
density	3.3	g/cm³

Lattice parameters (Å, degrees): 9.3026 4.0249 9.4020 90.00 107.39 90.00
With the nearest neighbours (Å) after each atom.
Sites, in units of the cell vectors:
Rb 0.2274 0.2500 0.1906  7 S 3.38-3.52
Rb 0.7726 0.7500 0.8094  7 S 3.38-3.52
Pr 0.1590 0.2500 0.6634  6 S 2.83-2.93
Pr 0.8410 0.7500 0.3366  6 S 2.83-2.93
Be 0.3963 0.7500 0.9283  2 S 2.05-2.09
Be 0.6037 0.2500 0.0717  2 S 2.05-2.09
S 0.1591 0.7500 0.4516  3 Pr 2.83
S 0.1660 0.7500 0.8808  1 Be 2.05
S 0.4752 0.2500 0.8471  1 Be 2.09
S 0.5248 0.7500 0.1529  1 Be 2.09
S 0.8340 0.2500 0.1192  1 Be 2.05
S 0.8409 0.2500 0.5484  3 Pr 2.83

=====

Here is Pb5Br after structural relaxation from Alexandria via LeMat-Bulk. Energies are from PBE.

magnetization	0.000	μB/atom
crystal system	monoclinic
E_form (uncorrected)	-111	meV per atom
VASP energy	-3.480	eV per atom
space-group type	Cm, No. 8
N(E_F)	4.63	states/eV per cell
energy above the lowest structure with this stoichiometry	0.0075	eV/atom
density	9.3	g/cm³

Lattice parameters (Å, degrees): 11.6012 3.5915 10.2607 90.00 111.31 90.00
With the nearest neighbours (Å) after each atom.
Sites, in units of the cell vectors:
Pb 0.0000 0.0000 0.0000  3 Br 2.99-3.33
Pb 0.0046 0.5000 0.2851  9 Pb 3.31-3.59
Pb 0.1476 0.0000 0.5837  10 Pb 3.32-3.67
Pb 0.3107 0.5000 0.4043  10 Pb 3.31-3.67
Pb 0.4545 0.0000 0.7025  9 Pb 3.32-3.59, 1 Br 3.61
Pb 0.5000 0.5000 0.0000  3 Br 2.99-3.33
Pb 0.5046 0.0000 0.2851  9 Pb 3.31-3.59
Pb 0.6476 0.5000 0.5837  10 Pb 3.32-3.67
Pb 0.8107 0.0000 0.4043  10 Pb 3.31-3.67
Pb 0.9545 0.5000 0.7025  9 Pb 3.32-3.59, 1 Br 3.61
Br 0.2421 0.5000 0.0002  3 Pb 2.99-3.33
Br 0.7421 0.0000 0.0002  3 Pb 2.99-3.33

=====

Here is BiP2SeO after structural relaxation from Alexandria via LeMat-Bulk. Energies are from PBE.

magnetization	0.000	μB/atom
crystal system	tetragonal
E_form (uncorrected)	337	meV per atom
VASP energy	-4.291	eV per atom
space-group type	P4/mmm, No. 123
N(E_F)	2.96	states/eV per cell
energy above the lowest structure with this stoichiometry	0.0000	eV/atom
density	6.5	g/cm³

Lattice parameters (Å, degrees): 4.9632 4.9632 3.8236 90.00 90.00 90.00
With the nearest neighbours (Å) after each atom.
Sites, in units of the cell vectors:
Bi 0.0000 0.0000 0.0000  8 P 3.13
P 0.0000 0.5000 0.5000  2 Se 2.48
P 0.5000 0.0000 0.5000  2 Se 2.48
Se 0.5000 0.5000 0.5000  2 O 1.91
O 0.5000 0.5000 0.0000  2 Se 1.91